# Mn2PSe

A relaxed Mn2PSe crystal (PBE, the Alexandria database).

Results
For the density of states at the Fermi level, the calculation gives 2.42 states/eV/f.u. As for the formation energy from raw total energies: -0.246 eV per atom. As for the magnetic moment: 4.43 μB per cell. The space group is No. 44. For the excess energy over the best structure of this formula in the dataset, the calculation gives 0.023 eV/atom.

a = 6.059 Å, b = 6.059 Å, c = 6.059 Å
α = 150.13°, β = 148.91°, γ = 43.66°
Atoms (fractional coordinates):
Mn 0.000 0.000 0.000
Mn 0.789 0.289 0.500
P 0.355 0.855 0.500
Se 0.606 0.606 0.000